# 1
First-principles (GGA-PBEsol) data for a geometry-optimized SnAu3Cl structure, as listed in Alexandria.

a b c (Å): 4.8553 4.8553 4.8553
angles (deg): 90.00 90.00 90.00
Fractional coordinates of all 5 atoms:
Au 0.0000 0.5000 0.0000
Au 0.0000 0.0000 0.5000
Au 0.5000 0.0000 0.0000
Sn 0.5000 0.5000 0.5000
Cl 0.0000 0.0000 0.0000

## Properties
SG = No. 221


# 2
First-principles (GGA-PBEsol) data for a geometry-optimized Sn2Au2Cl structure, as listed in Alexandria.

a b c (Å): 5.0881 5.0881 5.9293
angles (deg): 115.41 115.41 90.00
Fractional coordinates of all 5 atoms:
Au 0.3585 0.3585 0.7171
Au 0.6415 0.6415 0.2829
Sn 0.2500 0.7500 0.5000
Sn 0.7500 0.2500 0.5000
Cl 0.0000 0.0000 0.0000

## Properties
SG = No. 139


Across the entries above, formation energy from raw total energies takes the values 0.82, -0.10 eV/atom, respectively.
Across the entries above, total moment takes the values 0.0, 0.0 μB/f.u., respectively.